Compound: Ho7Ni3
Source: the Alexandria database
Functional: PBE-GGA
Structure: optimized geometry

For the total magnetic moment, the calculation gives 2.27 Bohr magnetons per cell. Its energy relative to the elements is -0.277 eV/atom.

The space group is P6_3mc (No. 186) and the conventional cell measures 9.5877, 9.5877 and 6.1341 Å, with angles of 90.00, 90.00 and 120.00 degrees. The asymmetric unit holds Ho at (0.0818, 0.5409, 0.0000), Ho at (0.1258, 0.2517, 0.6833), Ho at (0.3333, 0.6667, 0.4813) and Ni at (0.1898, 0.3796, 0.2566).